! NdSmLu PBE relaxed; values from VASP
&SYSTEM
  ibrav = 0, nat = 3, ntyp = 3
/
ATOMIC_SPECIES
Lu 174.97 Lu.upf
Nd 144.24 Nd.upf
Sm 150.36 Sm.upf
ATOMIC_POSITIONS crystal
Lu 0.666 0.666 0.332
Nd 0.331 0.331 0.663
Sm 0.003 0.003 0.005
CELL_PARAMETERS angstrom
3.599 0.000 0.000
0.000 3.599 0.000
-1.799 -1.799 7.593
! Total moment (μB per formula unit): 0.0
! Energy of formation from the pure elements (kJ/mol of atoms): 3
! Symmetry: No. 107



! NdSmLu2 PBE relaxed; values from VASP
&SYSTEM
  ibrav = 0, nat = 4, ntyp = 3
/
ATOMIC_SPECIES
Lu 174.97 Lu.upf
Nd 144.24 Nd.upf
Sm 150.36 Sm.upf
ATOMIC_POSITIONS crystal
Lu 0.250 0.250 0.250
Lu 0.750 0.750 0.750
Nd 0.500 0.500 0.500
Sm 0.000 0.000 0.000
CELL_PARAMETERS angstrom
5.666 0.000 0.000
2.833 4.907 0.000
2.833 1.636 4.626
! Total moment (μB per formula unit): 0.0
! Energy of formation from the pure elements (kJ/mol of atoms): 8
! Symmetry: No. 225



! NdSmLu2 PBE relaxed; values from VASP
&SYSTEM
  ibrav = 0, nat = 4, ntyp = 3
/
ATOMIC_SPECIES
Lu 174.97 Lu.upf
Nd 144.24 Nd.upf
Sm 150.36 Sm.upf
ATOMIC_POSITIONS crystal
Lu 0.000 0.000 0.500
Lu 0.000 0.500 0.000
Nd 0.500 0.000 0.000
Sm 0.500 0.500 0.500
CELL_PARAMETERS angstrom
-0.952 -4.437 -1.931
4.743 -0.241 -1.786
1.512 -2.202 4.314
! Total moment (μB per formula unit): 0.0
! Energy of formation from the pure elements (kJ/mol of atoms): 3
! Symmetry: No. 123



! NdSmLu2 PBE relaxed; values from VASP
&SYSTEM
  ibrav = 0, nat = 4, ntyp = 3
/
ATOMIC_SPECIES
Lu 174.97 Lu.upf
Nd 144.24 Nd.upf
Sm 150.36 Sm.upf
ATOMIC_POSITIONS crystal
Lu 0.750 0.750 0.751
Lu 0.250 0.250 0.249
Nd 0.500 0.500 0.500
Sm 0.000 0.000 0.000
CELL_PARAMETERS angstrom
-1.414 2.420 2.200
-1.768 -1.054 2.908
8.704 0.687 7.724
! Total moment (μB per formula unit): 0.0
! Energy of formation from the pure elements (kJ/mol of atoms): 2
! Symmetry: No. 166



! NdSmLuSn PBE relaxed; values from VASP
&SYSTEM
  ibrav = 0, nat = 4, ntyp = 4
/
ATOMIC_SPECIES
Lu 174.97 Lu.upf
Nd 144.24 Nd.upf
Sn 118.71 Sn.upf
Sm 150.36 Sm.upf
ATOMIC_POSITIONS crystal
Lu 0.750 0.750 0.750
Nd 0.500 0.500 0.500
Sn 0.250 0.250 0.250
Sm 0.000 0.000 0.000
CELL_PARAMETERS angstrom
-0.782 -1.798 -5.115
-4.579 -2.722 -1.276
-3.789 2.352 -3.181
! Total moment (μB per formula unit): 0.0
! Energy of formation from the pure elements (kJ/mol of atoms): -25
! Symmetry: No. 216



! TbNdSmLu PBE relaxed; values from VASP
&SYSTEM
  ibrav = 0, nat = 4, ntyp = 4
/
ATOMIC_SPECIES
Nd 144.24 Nd.upf
Lu 174.97 Lu.upf
Tb 158.93 Tb.upf
Sm 150.36 Sm.upf
ATOMIC_POSITIONS crystal
Nd 0.250 0.250 0.250
Lu 0.500 0.500 0.500
Tb 0.000 0.000 0.000
Sm 0.750 0.750 0.750
CELL_PARAMETERS angstrom
5.704 0.000 0.000
2.852 4.940 0.000
2.852 1.647 4.657
! Total moment (μB per formula unit): 0.0
! Energy of formation from the pure elements (kJ/mol of atoms): 11
! Symmetry: No. 216



! NdSmLuTh PBE relaxed; values from VASP
&SYSTEM
  ibrav = 0, nat = 4, ntyp = 4
/
ATOMIC_SPECIES
Lu 174.97 Lu.upf
Nd 144.24 Nd.upf
Th 232.04 Th.upf
Sm 150.36 Sm.upf
ATOMIC_POSITIONS crystal
Lu 0.000 0.000 0.000
Nd 0.250 0.250 0.250
Th 0.750 0.750 0.750
Sm 0.500 0.500 0.500
CELL_PARAMETERS angstrom
-4.248 -2.971 -2.379
0.339 -1.580 -5.470
0.761 -5.491 -1.340
! Total moment (μB per formula unit): 0.0
! Energy of formation from the pure elements (kJ/mol of atoms): 14
! Symmetry: No. 216



! NdSmYLu PBE relaxed; values from VASP
&SYSTEM
  ibrav = 0, nat = 4, ntyp = 4
/
ATOMIC_SPECIES
Y 88.91 Y.upf
Lu 174.97 Lu.upf
Nd 144.24 Nd.upf
Sm 150.36 Sm.upf
ATOMIC_POSITIONS crystal
Y 0.750 0.750 0.750
Lu 0.250 0.250 0.250
Nd 0.000 0.000 0.000
Sm 0.500 0.500 0.500
CELL_PARAMETERS angstrom
5.710 0.000 0.000
2.855 4.945 0.000
2.855 1.648 4.662
! Total moment (μB per formula unit): 0.0
! Energy of formation from the pure elements (kJ/mol of atoms): 10
! Symmetry: No. 216



Number 1: ρ 7.930 Mg/m³. Number 2: ρ 8.323 Mg/m³. Number 3: ρ 8.431 Mg/m³. Number 4: ρ 8.482 Mg/m³. Number 5: ρ 8.405 Mg/m³. Number 6: ρ 7.953 Mg/m³. Number 7: ρ 8.880 Mg/m³. Number 8: ρ 7.044 Mg/m³.